K3YH: optimized geometry, PBE.

Cell lengths 5.8701, 5.8701, 5.8701 Å; angles 90.00, 90.00, 90.00 degrees
Space group Pm-3m (No. 221)
One atom of each set of equivalent atoms:
1 K 0.0000 0.0000 0.5000
2 Y 0.5000 0.5000 0.5000
3 H 0.0000 0.0000 0.0000

Output
The calculation puts the density of states at the Fermi level at 9.15 states/eV per cell. The calculation puts the spin magnetization at 1.24 μB per cell. The calculation puts the final energy at -2.15 eV/atom.